Record 1
# BaHgIr4 | Alexandria | PBEsol | optimized geometry
data_BaHgIr4
_chemical_formula_sum 'Ba4 Hg4 Ir16'
_cell_length_a 7.632
_cell_length_b 7.632
_cell_length_c 7.632
_cell_angle_alpha 90.00
_cell_angle_beta 90.00
_cell_angle_gamma 90.00
_space_group_name_H-M_alt 'F -4 3 m'
_space_group_IT_number 216
_space_group_name_Hall 'F -4 2 3'
loop_
_atom_site_label
_atom_site_fract_x
_atom_site_fract_y
_atom_site_fract_z
Ba1 0.000 0.000 0.000
Hg1 0.250 0.250 0.250
Ir1 0.125 0.125 0.625
# * crystal system: cubic
# * formation enthalpy at 0 K: 0.34 eV/atom

***

Record 2
# KBa3Hg | Alexandria | PBEsol | optimized geometry
data_KBa3Hg
_chemical_formula_sum 'K1 Ba3 Hg1'
_cell_length_a 6.645
_cell_length_b 6.645
_cell_length_c 6.645
_cell_angle_alpha 90.00
_cell_angle_beta 90.00
_cell_angle_gamma 90.00
_space_group_name_H-M_alt 'P m -3 m'
_space_group_IT_number 221
_space_group_name_Hall '-P 4 2 3'
loop_
_atom_site_label
_atom_site_fract_x
_atom_site_fract_y
_atom_site_fract_z
K1 0.000 0.000 0.000
Ba1 0.000 0.500 0.500
Hg1 0.500 0.500 0.500
# * crystal system: cubic
# * formation enthalpy at 0 K: -0.14 eV/atom

***

Record 3
# K2BaHg | Alexandria | PBEsol | optimized geometry
data_K2BaHg
_chemical_formula_sum 'K2 Ba1 Hg1'
_cell_length_a 4.244
_cell_length_b 4.244
_cell_length_c 10.849
_cell_angle_alpha 90.00
_cell_angle_beta 90.00
_cell_angle_gamma 90.00
_space_group_name_H-M_alt 'P 4 m m'
_space_group_IT_number 99
loop_
_space_group_symop_operation_xyz
'x,y,z'
'-y,x,z'
'-x,-y,z'
'y,-x,z'
'-x,y,z'
'y,x,z'
'x,-y,z'
'-y,-x,z'
loop_
_atom_site_label
_atom_site_fract_x
_atom_site_fract_y
_atom_site_fract_z
K1 0.000 0.000 0.000
K2 0.500 0.500 0.328
Ba1 0.000 0.000 0.645
Hg1 0.500 0.500 0.797
# * crystal system: tetragonal
# * formation enthalpy at 0 K: -0.19 eV/atom

***

Record 4
# KBaHg2 | Alexandria | PBEsol | optimized geometry
data_KBaHg2
_chemical_formula_sum 'K2 Ba2 Hg4'
_cell_length_a 8.215
_cell_length_b 8.222
_cell_length_c 3.979
_cell_angle_alpha 90.00
_cell_angle_beta 90.00
_cell_angle_gamma 90.00
_space_group_name_H-M_alt 'C m m m'
_space_group_IT_number 65
_space_group_name_Hall '-C 2 2'
loop_
_atom_site_label
_atom_site_fract_x
_atom_site_fract_y
_atom_site_fract_z
K1 0.000 0.000 0.000
Ba1 0.000 0.500 0.000
Hg1 0.250 0.250 0.500
# * crystal system: orthorhombic
# * formation enthalpy at 0 K: -0.33 eV/atom

***

Question: Which value of formation enthalpy at 0 K does entry 1 give?
Answer: 0.34 eV/atom